KTlPb4 | GGA-PBE | relaxed

a = 6.646 Å, b = 6.646 Å, c = 6.646 Å
α = 60.00°, β = 60.00°, γ = 60.00°
Element x y z (fractional)
1 K 0.000 0.000 0.000
2 Tl 0.250 0.250 0.250
3 Pb 0.126 0.625 0.625
4 Pb 0.625 0.126 0.625
5 Pb 0.625 0.625 0.126
6 Pb 0.625 0.625 0.625

Computed properties:
Crystal system: cubic
Formation energy in eV/atom: -0.068



KTl3Pb2 | GGA-PBE | relaxed

a = 9.112 Å, b = 9.112 Å, c = 6.767 Å
α = 90.00°, β = 90.00°, γ = 51.02°
Element x y z (fractional)
1 K 0.177 0.823 0.750
2 K 0.823 0.177 0.250
3 Tl 0.066 0.294 0.750
4 Tl 0.294 0.066 0.250
5 Tl 0.328 0.672 0.250
6 Tl 0.672 0.328 0.750
7 Tl 0.706 0.934 0.750
8 Tl 0.934 0.706 0.250
9 Pb 0.344 0.344 0.000
10 Pb 0.344 0.344 0.500
11 Pb 0.656 0.656 0.000
12 Pb 0.656 0.656 0.500

Computed properties:
Crystal system: orthorhombic
Formation energy in eV/atom: -0.004



Result set for V: 208; 437 Å³/cell, one per record in the order listed.
Result set for energy relative to the lowest polymorph listed for this composition: 0; 18 meV/atom, one per record in the order listed.
Result set for VASP energy: -3.1174; -2.6062 eV per atom, one per record in the order listed.